1.
Entry from Alexandria via LeMat-Bulk: a geometry-optimized TlCoHg structure (PBE-GGA).

abc: 3.1979 3.1979 11.8054
angles: 90.00 90.00 90.00
Last column: nearest neighbours and their distance in Å.
Space group I4mm (No. 107)
One atom of each set of equivalent atoms:
Tl  0.0000  0.0000  0.0000 x2  4 Co 2.83
Co  0.0000  0.0000  0.3552 x2  4 Hg 2.77, 4 Tl 2.83
Hg  0.0000  0.0000  0.7204 x2  4 Co 2.77

Calculated values
Relative energy among the computed polymorphs in eV per formula unit: 0.03
E in eV for the cell shown: -16.526

***

2.
Entry from Alexandria via LeMat-Bulk: a geometry-optimized YTlCo2Hg structure (PBE-GGA).

abc: 4.8629 4.8629 5.3180
angles: 90.00 90.00 90.00
Last column: nearest neighbours and their distance in Å.
Space group P4/mmm (No. 123)
One atom of each set of equivalent atoms:
Y  0.0000  0.0000  0.0000 x1  4 Hg 3.44, 8 Co 3.60
Tl  0.5000  0.5000  0.5000 x1  4 Co 2.43, 2 Hg 2.66
Co  0.0000  0.5000  0.5000 x2  2 Tl 2.43
Hg  0.5000  0.5000  0.0000 x1  2 Tl 2.66

Calculated values
E in eV for the cell shown: -18.550

***

3.
Entry from Alexandria via LeMat-Bulk: a geometry-optimized Tm4CoHg structure (PBE-GGA).

abc: 7.1476 6.8029 6.7045
angles: 90.00 93.20 90.00
Last column: nearest neighbours and their distance in Å.
Space group P2_1/c (No. 14)
One atom of each set of equivalent atoms:
Tm  0.1364  0.1604  0.1823 x4  2 Co 2.63-2.77
Tm  0.3081  0.6429  0.1177 x4  1 Co 2.49
Co  0.0000  0.0000  0.5000 x2  6 Tm 2.49-2.77
Hg  0.5000  0.0000  0.0000 x2  6 Tm 2.92-3.13

Calculated values
Relative energy among the computed polymorphs in eV per formula unit: 0.96
E in eV for the cell shown: -52.504

***

4.
Entry from Alexandria via LeMat-Bulk: a geometry-optimized Tm2CoHg structure (PBE-GGA).

abc: 3.3824 3.3824 7.4319
angles: 90.00 90.00 90.00
Last column: nearest neighbours and their distance in Å.
Space group P4/mmm (No. 123)
One atom of each set of equivalent atoms:
Tm  0.0000  0.0000  0.2164 x2  4 Co 2.88, 4 Hg 3.19, 1 Tm 3.22
Co  0.5000  0.5000  0.0000 x1  8 Tm 2.88
Hg  0.5000  0.5000  0.5000 x1  8 Tm 3.19, 4 Hg 3.38

Calculated values
Relative energy among the computed polymorphs in eV per formula unit: 0.00
E in eV for the cell shown: -17.840

***

5.
Entry from Alexandria via LeMat-Bulk: a geometry-optimized Tm5CoHg4 structure (PBE-GGA).

abc: 3.5358 3.5358 18.7155
angles: 90.00 90.00 90.00
Last column: nearest neighbours and their distance in Å.
Space group P4/mmm (No. 123)
One atom of each set of equivalent atoms:
Tm  0.0000  0.0000  0.0000 x1  8 Hg 3.15
Tm  0.0000  0.0000  0.2063 x2  8 Hg 3.16
Tm  0.0000  0.0000  0.4161 x2  4 Co 2.95, 1 Tm 3.14, 4 Hg 3.20
Co  0.5000  0.5000  0.5000 x1  8 Tm 2.95
Hg  0.5000  0.5000  0.1027 x2  8 Tm 3.15-3.16
Hg  0.5000  0.5000  0.3092 x2  8 Tm 3.16-3.20

Calculated values
E in eV for the cell shown: -34.815

***

6.
Entry from Alexandria via LeMat-Bulk: a geometry-optimized Tm7Co2Hg structure (PBE-GGA).

abc: 8.7642 13.1496 4.8644
angles: 90.00 90.00 90.00
Last column: nearest neighbours and their distance in Å.
Space group Cmmm (No. 65)
One atom of each set of equivalent atoms:
Tm  0.0000  0.0000  0.0000 x2  2 Co 2.68
Tm  0.0000  0.2040  0.5000 x4  2 Co 2.43
Tm  0.1847  0.3677  0.0000 x8  2 Co 2.70-2.92
Co  0.0000  0.2036  0.0000 x4  5 Tm 2.43-2.70
Hg  0.0000  0.5000  0.5000 x2  8 Tm 3.40

Calculated values
E in eV for the cell shown: -92.479

***

7.
Entry from Alexandria via LeMat-Bulk: a geometry-optimized Tm6CoHg3 structure (PBE-GGA).

abc: 6.2927 8.2545 12.0278
angles: 90.00 121.06 90.00
Last column: nearest neighbours and their distance in Å.
Space group P2_1/c (No. 14)
One atom of each set of equivalent atoms:
Tm  0.0806  0.0553  0.2282 x4  1 Co 2.56
Tm  0.1912  0.7099  0.0682 x4  1 Co 2.61
Tm  0.4130  0.1519  0.0617 x4  1 Co 2.62
Co  0.0000  0.0000  0.0000 x2  6 Tm 2.56-2.62
Hg  0.3045  0.1116  0.7297 x4  6 Tm 3.05-3.19
Hg  0.5000  0.0000  0.5000 x2  6 Tm 2.99-3.09

Calculated values
E in eV for the cell shown: -75.124

***

8.
Entry from Alexandria via LeMat-Bulk: a geometry-optimized Tm5Co2Hg structure (PBE-GGA).

abc: 7.4736 7.4736 13.1554
angles: 90.00 90.00 90.00
Last column: nearest neighbours and their distance in Å.
Space group I4/mcm (No. 140)
One atom of each set of equivalent atoms:
Tm  0.0000  0.0000  0.0000 x4  4 Co 2.90
Tm  0.1608  0.3392  0.1331 x16  3 Co 2.77-2.83
Co  0.1361  0.3639  0.5000 x8  8 Tm 2.77-2.90, 1 Co 2.88
Hg  0.0000  0.0000  0.2500 x4  10 Tm 3.20-3.29

Calculated values
E in eV for the cell shown: -157.543